# HgSbRu

Crystalline HgSbRu at its relaxed geometry (GGA-PBE, the Alexandria database).

Values from the calculation:
density	10874	kg/m3
E	-13.06	eV/cell
polymorph energy (0 for the lowest one)	43	meV per atom
N(E_F)	1.42	states/eV/f.u.
ΔE_f (raw)	0.64	eV per formula unit

abc: 3.2672 3.2672 6.9945
angles: 90.00 90.00 120.00
With the nearest neighbours (Å) after each atom.
Space group P3m1 (No. 156)
Inequivalent atoms, fractional coordinates:
Hg: 0.0000 0.0000 0.0000 x1  3 Ru 2.91
Sb: 0.3333 0.6667 0.5758 x1  3 Ru 2.62
Ru: 0.6667 0.3333 0.3163 x1  3 Sb 2.62, 3 Hg 2.91